Entry from Alexandria: a geometry-optimized RePt2Pb structure (PBE).

Crystal system: orthorhombic
N(E_F) in states/eV/f.u.: 3.789
VASP energy in eV per atom: -6.5426
Space group: No. 71

Unit cell a=5.7119 b=5.7119 c=5.7119 alpha=149.73 beta=129.79 gamma=59.76
With the nearest neighbours (Å) after each atom.
Fractional positions:
Pt 0.5176 0.5176 0.0000  2 Re 2.74, 6 Pt 2.87-2.98, 2 Pb 3.04
Pb 0.2500 0.7500 0.5000  4 Re 2.85, 2 Pb 2.98, 4 Pt 3.04
Pt 0.9824 0.9824 0.0000  2 Re 2.74, 6 Pt 2.87-2.98, 2 Pb 3.04
Re 0.7500 0.2500 0.5000  4 Pt 2.74, 4 Pb 2.85, 2 Re 2.98